Density functional theory data (PBE-GGA) for Rb2SeI after structural relaxation.

## Properties
Volume: 163 Å³/cell
Energy above the lowest structure with this stoichiometry: 0.0 kJ per mole of atoms
DOS(E_F): 6.17 states/eV/f.u.
Formation energy (no corrections): -0.9272 eV per atom

a b c (Å): 6.1303 6.1303 6.1303
angles (deg): 60.00 60.00 60.00
Closest atoms and distances in Å follow each position.
Fractional coordinates of all 4 atoms:
Rb (0.2500, 0.2500, 0.2500)  4 Se 3.75, 4 I 3.75
Rb (0.7500, 0.7500, 0.7500)  4 Se 3.75, 4 I 3.75
Se (0.0000, 0.0000, 0.0000)  8 Rb 3.75
I (0.5000, 0.5000, 0.5000)  8 Rb 3.75